(1)
DFT (PBE) results for crystalline PdN2O2 at its relaxed geometry.

Summary:
- Relative energy among the computed polymorphs: 2.308 eV/atom
- Energy: -4.2014 eV per atom
- DOS at the Fermi energy: 3.95 states/eV/f.u.
- Total magnetization: 4.4 μB per cell
- Crystal system: tetragonal

Unit cell a=4.0333 b=4.0333 c=3.9506 alpha=90.00 beta=90.00 gamma=90.00
Last column: nearest neighbours and their distance in Å.
Fractional coordinates of all 5 atoms:
Pd 0.0000 0.0000 0.0000  2 O 1.98, 4 N 2.02
N 0.0000 0.5000 0.0000  2 Pd 2.02
N 0.5000 0.0000 0.0000  2 Pd 2.02
O 0.0000 0.0000 0.5000  2 Pd 1.98
O 0.5000 0.5000 0.5000  8 N 2.82, 4 O 2.85

(2)
DFT (PBE) results for crystalline Pd2NO at its relaxed geometry.

Summary:
- Relative energy among the computed polymorphs: 0.427 eV/atom
- Energy: -5.0179 eV per atom
- DOS at the Fermi energy: 4.42 states/eV/f.u.
- Total magnetization: 0.0 μB per cell
- Crystal system: cubic

Unit cell a=3.9442 b=3.9442 c=3.9442 alpha=60.00 beta=60.00 gamma=60.00
Last column: nearest neighbours and their distance in Å.
Fractional coordinates of all 4 atoms:
Pd 0.2500 0.2500 0.2500  4 O 2.42, 4 N 2.42
Pd 0.7500 0.7500 0.7500  4 O 2.42, 4 N 2.42
N 0.0000 0.0000 0.0000  8 Pd 2.42
O 0.5000 0.5000 0.5000  8 Pd 2.42

(3)
DFT (PBE) results for crystalline PdN2O2 at its relaxed geometry.

Summary:
- Relative energy among the computed polymorphs: 2.262 eV/atom
- Energy: -4.2471 eV per atom
- DOS at the Fermi energy: 4.00 states/eV/f.u.
- Total magnetization: 3.0 μB per cell
- Crystal system: tetragonal

Unit cell a=4.0366 b=4.0366 c=4.0301 alpha=90.00 beta=90.00 gamma=90.00
Last column: nearest neighbours and their distance in Å.
Fractional coordinates of all 5 atoms:
Pd 0.0000 0.0000 0.0000  2 N 2.02, 4 O 2.02
N 0.0000 0.0000 0.5000  2 Pd 2.02
N 0.5000 0.5000 0.5000  8 O 2.85, 4 N 2.85
O 0.0000 0.5000 0.0000  2 Pd 2.02
O 0.5000 0.0000 0.0000  2 Pd 2.02

What is the relative energy among the computed polymorphs in the third record?
2.262 eV/atom